1.
Tl2TeAu: relaxed, PBE.

Cell and atoms, written as POSCAR:
```
Tl2TeAu
1.0
4.469 0.000 0.000
-2.235 3.870 0.000
0.000 0.000 20.736
Tl Te Au
6 3 3
Direct
0.000 0.000 0.241
0.000 0.000 0.759
0.333 0.667 0.426
0.333 0.667 0.907
0.667 0.333 0.093
0.667 0.333 0.574
0.000 0.000 0.000
0.333 0.667 0.667
0.667 0.333 0.333
0.000 0.000 0.500
0.333 0.667 0.167
0.667 0.333 0.833
```

Summary:
Total moment, μB per cell: 0.00
Energy relative to the lowest polymorph listed for this composition, meV/atom: 34
Space-group type: R-3m

2.
Tl2TeAu: relaxed, PBE.

Cell and atoms, written as POSCAR:
```
Tl2TeAu
1.0
4.410 0.000 0.000
0.000 6.074 0.000
0.000 0.000 9.076
Tl Te Au
4 2 2
Direct
0.000 0.000 0.000
0.000 0.500 0.205
0.500 0.000 0.705
0.500 0.500 0.500
0.000 0.000 0.404
0.500 0.500 0.904
0.000 0.500 0.721
0.500 0.000 0.221
```

Summary:
Total moment, μB per cell: 0.00
Energy relative to the lowest polymorph listed for this composition, meV/atom: 55
Space-group type: Imm2

3.
TlTe2Au2: relaxed, PBE.

Cell and atoms, written as POSCAR:
```
TlTe2Au2
1.0
4.681 0.000 0.000
0.000 4.681 0.000
0.000 0.000 12.650
Tl Te Au
2 4 4
Direct
0.000 0.000 0.000
0.500 0.500 0.500
0.000 0.500 0.250
0.000 0.500 0.750
0.500 0.000 0.250
0.500 0.000 0.750
0.000 0.000 0.394
0.000 0.000 0.606
0.500 0.500 0.106
0.500 0.500 0.894
```

Summary:
Total moment, μB per cell: 0.00
Energy relative to the lowest polymorph listed for this composition, meV/atom: 202
Space-group type: I4/mmm

4.
Tl2Te3Au3: relaxed, PBE.

Cell and atoms, written as POSCAR:
```
Tl2Te3Au3
1.0
8.025 0.000 0.000
-4.013 6.950 0.000
0.000 0.000 9.993
Tl Te Au
4 6 6
Direct
0.333 0.667 0.000
0.333 0.667 0.500
0.667 0.333 0.000
0.667 0.333 0.500
0.000 0.325 0.250
0.000 0.675 0.750
0.325 0.000 0.250
0.325 0.325 0.750
0.675 0.000 0.750
0.675 0.675 0.250
0.000 0.343 0.750
0.000 0.657 0.250
0.343 0.000 0.750
0.343 0.343 0.250
0.657 0.000 0.250
0.657 0.657 0.750
```

Summary:
Total moment, μB per cell: 0.00
Space-group type: P6_3/mcm

5.
Tl2Te2Au3: relaxed, PBE.

Cell and atoms, written as POSCAR:
```
Tl2Te2Au3
1.0
-4.713 4.713 4.713
4.713 -4.713 4.713
4.713 4.713 -4.713
Tl Te Au
4 4 6
Direct
0.000 0.047 0.500
0.047 0.500 0.000
0.453 0.453 0.453
0.500 0.000 0.047
0.000 0.558 0.500
0.500 0.000 0.558
0.558 0.500 0.000
0.942 0.942 0.942
0.204 0.954 0.250
0.250 0.204 0.954
0.296 0.546 0.750
0.546 0.750 0.296
0.750 0.296 0.546
0.954 0.250 0.204
```

Summary:
Total moment, μB per cell: 0.00
Space-group type: I2_13

6.
Tl12TeAu6: relaxed, PBE.

Cell and atoms, written as POSCAR:
```
Tl12TeAu6
1.0
6.352 3.667 3.836
-6.352 3.667 3.836
0.000 -7.335 3.836
Tl Te Au
12 1 6
Direct
0.114 0.404 0.165
0.164 0.680 0.556
0.165 0.114 0.404
0.320 0.444 0.836
0.404 0.165 0.114
0.444 0.836 0.320
0.556 0.164 0.680
0.596 0.835 0.886
0.680 0.556 0.164
0.835 0.886 0.596
0.836 0.320 0.444
0.886 0.596 0.835
0.500 0.500 0.500
0.046 0.754 0.207
0.207 0.046 0.754
0.246 0.793 0.954
0.754 0.207 0.046
0.793 0.954 0.246
0.954 0.246 0.793
```

Summary:
Total moment, μB per cell: 0.00
Space-group type: R-3

7.
Tl8Te2Au: relaxed, PBE.

Cell and atoms, written as POSCAR:
```
Tl8Te2Au
1.0
9.753 -2.309 0.000
9.753 2.309 0.000
-0.516 0.000 8.000
Tl Te Au
8 2 1
Direct
0.002 0.002 0.263
0.214 0.214 0.856
0.349 0.349 0.449
0.408 0.408 0.985
0.592 0.592 0.015
0.651 0.651 0.551
0.786 0.786 0.144
0.998 0.998 0.737
0.172 0.172 0.277
0.828 0.828 0.723
0.500 0.500 0.500
```

Summary:
Total moment, μB per cell: 0.00
Space-group type: C2/m

8.
Tl3TeAu: relaxed, PBE.

Cell and atoms, written as POSCAR:
```
Tl3TeAu
1.0
5.563 0.000 0.000
0.000 5.563 0.000
0.000 0.000 5.563
Tl Te Au
3 1 1
Direct
0.000 0.000 0.500
0.000 0.500 0.000
0.500 0.000 0.000
0.500 0.500 0.500
0.000 0.000 0.000
```

Summary:
Total moment, μB per cell: 0.00
Energy relative to the lowest polymorph listed for this composition, meV/atom: 81
Space-group type: Pm-3m

Summary of uncorrected formation energy in eV per formula unit
-0.3; -0.2; 0.4; -1.2; -1.2; -0.4; -1.4; -0.3
(order as listed above)